VASP calculation (PBE+U) on ScCrF2 after structural relaxation.

Properties
**Calculated volume**: 210.92 Å³/cell
**Mass density**: 3187 kg/m³
**Total magnetic moment**: 1.248 μB per atom
**E above lowest polymorph**: 0.1336 eV per atom

CIF file:
```
data_ScCrF2
_chemical_formula_sum 'Sc3 Cr3 F6'
_cell_length_a 3.6815
_cell_length_b 3.6815
_cell_length_c 17.9695
_cell_angle_alpha 90.00
_cell_angle_beta 90.00
_cell_angle_gamma 120.00
_symmetry_space_group_name_H-M 'R -3 m'
_symmetry_Int_Tables_number 166
_symmetry_space_group_name_Hall '-R 3 2"'
loop_
_atom_site_label
_atom_site_fract_x
_atom_site_fract_y
_atom_site_fract_z
Sc1 0.0000 0.0000 0.0000
Cr1 0.0000 0.0000 0.5000
F1 0.0000 0.0000 0.1123
```